1.
Below is a relaxed structure of LiTl2Hg, with properties calculated at the GGA-PBEsol level.

Computed properties:
distance to the lowest polymorph of the same formula = 37.4 meV per atom
symmetry = No. 160

Lattice parameters (Å, degrees): 9.7175 9.7175 9.7175 20.11 20.11 20.11
Fractional positions:
Li1 0.0000 0.0000 0.0000
Tl1 0.2548 0.2548 0.2548
Tl2 0.4928 0.4928 0.4928
Hg1 0.7354 0.7354 0.7354

***

2.
Below is a relaxed structure of Li2SiAg, with properties calculated at the GGA-PBEsol level.

Computed properties:
uncorrected formation energy = -0.1576 eV/atom
symmetry = No. 123

Lattice parameters (Å, degrees): 3.7771 3.7771 4.0427 90.00 90.00 90.00
Fractional positions:
Li1 0.0000 0.5000 0.0000
Li2 0.5000 0.0000 0.0000
Si1 0.0000 0.0000 0.5000
Ag1 0.5000 0.5000 0.5000

***

3.
Below is a relaxed structure of HgIrSe2, with properties calculated at the GGA-PBEsol level.

Computed properties:
uncorrected formation energy = 0.6429 eV/atom
symmetry = No. 47

Lattice parameters (Å, degrees): 3.2633 4.5976 4.7879 90.00 90.00 90.00
Fractional positions:
Hg1 0.0000 0.0000 0.0000
Ir1 0.5000 0.5000 0.0000
Se1 0.0000 0.5000 0.5000
Se2 0.5000 0.0000 0.5000

***

4.
Below is a relaxed structure of BaSbCl2, with properties calculated at the GGA-PBEsol level.

Computed properties:
distance to the lowest polymorph of the same formula = 594.0 meV per atom
uncorrected formation energy = -0.5196 eV/atom
symmetry = No. 166

Lattice parameters (Å, degrees): 10.6432 10.6432 10.6432 19.59 19.59 19.59
Fractional positions:
Ba1 0.0000 0.0000 0.0000
Sb1 0.5000 0.5000 0.5000
Cl1 0.0928 0.0928 0.0928
Cl2 0.9072 0.9072 0.9072

***

5.
Below is a relaxed structure of SrTePt2, with properties calculated at the GGA-PBEsol level.

Computed properties:
distance to the lowest polymorph of the same formula = 0.0 meV per atom
uncorrected formation energy = -0.6246 eV/atom
symmetry = No. 8

Lattice parameters (Å, degrees): 5.0358 5.0358 5.7667 112.85 112.85 46.06
Fractional positions:
Sr1 0.0000 0.0000 0.0000
Te1 0.1859 0.1859 0.6122
Pt1 0.4718 0.4718 0.4128
Pt2 0.7776 0.7776 0.3899

***

6.
Below is a relaxed structure of NdO, with properties calculated at the GGA-PBEsol level.

Computed properties:
uncorrected formation energy = -2.8338 eV/atom
symmetry = No. 225

Lattice parameters (Å, degrees): 3.5208 3.5208 3.5208 60.00 60.00 60.00
Fractional positions:
Nd1 0.0000 0.0000 0.0000
O1 0.5000 0.5000 0.5000

***

no.,calculated density (g/cm³)
1,10.78
2,4.31
3,12.73
4,4.62
5,10.53
6,8.62